## AcLa2Hg2 (PBE)

Data for AcLa2Hg2 after structural relaxation.

Cell and atoms, written as POSCAR:
```
AcLa2Hg2
1.0
3.963 0.000 0.000
0.000 5.685 0.000
-1.997 0.000 14.497
Ac La Hg
2 4 4
direct
0.145 0.250 0.287
0.855 0.750 0.713
0.049 0.750 0.098
0.236 0.750 0.476
0.764 0.250 0.524
0.951 0.250 0.902
0.354 0.250 0.707
0.456 0.750 0.914
0.544 0.250 0.086
0.646 0.750 0.293
```

- Energy relative to the lowest polymorph listed for this composition: 0.0000 eV/atom
- SG: P2_1/m
- D(E_F): 12.69 states/eV per cell

## Dy5Er3As8 (PBE)

Data for Dy5Er3As8 after structural relaxation.

Cell and atoms, written as POSCAR:
```
Dy5Er3As8
1.0
4.105 2.370 6.702
-4.105 2.370 6.702
0.000 -4.739 6.702
Dy Er As
5 3 8
direct
0.000 0.000 0.000
0.000 0.500 0.500
0.500 0.000 0.500
0.500 0.500 0.000
0.500 0.500 0.500
0.000 0.000 0.500
0.000 0.500 0.000
0.500 0.000 0.000
0.248 0.750 0.750
0.249 0.249 0.249
0.250 0.250 0.752
0.250 0.752 0.250
0.750 0.248 0.750
0.750 0.750 0.248
0.751 0.751 0.751
0.752 0.250 0.250
```

- SG: R-3m
- Calculated total energy: -6.148 eV per atom
- D(E_F): 2.77 states/eV per cell

## MgAl2Cd (PBE)

Data for MgAl2Cd after structural relaxation.

Cell and atoms, written as POSCAR:
```
MgAl2Cd
1.0
-2.138 2.138 4.251
2.138 -2.138 4.251
2.138 2.138 -4.251
Mg Al Cd
1 2 1
direct
0.000 0.000 0.000
0.250 0.750 0.500
0.500 0.500 0.000
0.750 0.250 0.500
```

- SG: I-4m2
- Calculated total energy: -2.451 eV per atom
- D(E_F): 1.49 states/eV per cell

## Mg3MoN (PBE)

Data for Mg3MoN after structural relaxation.

Cell and atoms, written as POSCAR:
```
Mg3MoN
1.0
4.324 0.000 0.000
0.000 4.324 0.000
0.000 0.000 4.324
Mg Mo N
3 1 1
direct
0.000 0.000 0.500
0.000 0.500 0.000
0.500 0.000 0.000
0.500 0.500 0.500
0.000 0.000 0.000
```

- SG: Pm-3m
- Raw formation energy: 0.31 eV per atom
- D(E_F): 1.79 states/eV per cell

## SiSb2IF (PBE)

Data for SiSb2IF after structural relaxation.

Cell and atoms, written as POSCAR:
```
SiSb2IF
1.0
5.638 0.000 0.000
0.000 5.638 0.000
0.000 0.000 3.851
Si Sb I F
1 2 1 1
direct
0.000 0.000 0.000
0.000 0.500 0.000
0.500 0.000 0.000
0.500 0.500 0.500
0.000 0.000 0.500
```

- Energy relative to the lowest polymorph listed for this composition: 0.0000 eV/atom
- SG: P4/mmm
- Raw formation energy: -0.25 eV per atom
- D(E_F): 2.61 states/eV per cell

## PuU3Si (PBE)

Data for PuU3Si after structural relaxation.

Cell and atoms, written as POSCAR:
```
PuU3Si
1.0
6.158 0.000 0.000
0.000 4.981 0.000
0.000 0.000 6.384
Pu U Si
2 6 2
direct
0.000 0.214 0.000
0.500 0.786 0.500
0.000 0.552 0.726
0.220 0.122 0.428
0.280 0.878 0.928
0.500 0.448 0.226
0.720 0.878 0.928
0.780 0.122 0.428
0.000 0.632 0.277
0.500 0.368 0.777
```

- SG: Pmn2_1
- Raw formation energy: -0.04 eV per atom
- D(E_F): 16.56 states/eV per cell

## ScNb2InN (PBE)

Data for ScNb2InN after structural relaxation.

Cell and atoms, written as POSCAR:
```
ScNb2InN
1.0
4.280 0.000 0.000
0.000 4.280 0.000
0.000 0.000 4.591
Sc Nb In N
1 2 1 1
direct
0.000 0.000 0.000
0.000 0.500 0.500
0.500 0.000 0.500
0.500 0.500 0.000
0.000 0.000 0.500
```

- SG: P4/mmm
- Raw formation energy: -0.62 eV per atom
- D(E_F): 3.83 states/eV per cell

## Sb2As (PBE)

Data for Sb2As after structural relaxation.

Cell and atoms, written as POSCAR:
```
Sb2As
1.0
1.902 -8.622 0.000
1.902 8.622 0.000
0.000 0.000 4.792
Sb As
4 2
direct
0.062 0.938 0.750
0.211 0.789 0.250
0.789 0.211 0.750
0.938 0.062 0.250
0.408 0.592 0.750
0.592 0.408 0.250
```

- Energy relative to the lowest polymorph listed for this composition: 0.1493 eV/atom
- SG: Cmcm
- Raw formation energy: 0.22 eV per atom
- D(E_F): 2.50 states/eV per cell

## K3Ba2OsO6 (PBE)

Data for K3Ba2OsO6 after structural relaxation.

Cell and atoms, written as POSCAR:
```
K3Ba2OsO6
1.0
3.206 -5.601 0.000
3.206 5.601 0.000
-2.124 0.000 6.194
K Ba Os O
3 2 1 6
direct
0.000 0.000 0.000
0.349 0.651 0.000
0.651 0.349 0.000
0.168 0.832 0.500
0.832 0.168 0.500
0.500 0.500 0.500
0.178 0.436 0.308
0.298 0.298 0.686
0.436 0.178 0.308
0.564 0.822 0.692
0.702 0.702 0.314
0.822 0.564 0.692
```

- SG: C2/m
- Raw formation energy: -1.68 eV per atom

## CsNaY2Cr (PBE)

Data for CsNaY2Cr after structural relaxation.

Cell and atoms, written as POSCAR:
```
CsNaY2Cr
1.0
5.370 0.000 0.000
0.000 5.370 0.000
0.000 0.000 6.480
Cs Na Y Cr
1 1 2 1
direct
0.000 0.000 0.000
0.500 0.500 0.000
0.000 0.500 0.500
0.500 0.000 0.500
0.500 0.500 0.500
```

- SG: P4/mmm
- Calculated total energy: -4.261 eV per atom
- D(E_F): 4.22 states/eV per cell

## PuVH4 (PBE)

Data for PuVH4 after structural relaxation.

Cell and atoms, written as POSCAR:
```
PuVH4
1.0
-2.404 2.404 4.641
2.404 -2.404 4.641
2.404 2.404 -4.641
Pu V H
2 2 8
direct
0.375 0.625 0.750
0.625 0.375 0.250
0.125 0.875 0.250
0.875 0.125 0.750
0.000 0.198 0.198
0.000 0.802 0.802
0.198 0.000 0.698
0.198 0.500 0.198
0.500 0.198 0.698
0.500 0.802 0.302
0.802 0.000 0.302
0.802 0.500 0.802
```

- SG: I4_1/amd
- Calculated total energy: -6.342 eV per atom
- D(E_F): 13.64 states/eV per cell

## Ti3AlPd (PBE)

Data for Ti3AlPd after structural relaxation.

Cell and atoms, written as POSCAR:
```
Ti3AlPd
1.0
4.544 -2.038 0.000
4.544 2.038 0.000
-1.965 0.000 9.151
Ti Al Pd
6 2 2
direct
0.038 0.038 0.350
0.137 0.137 0.947
0.305 0.305 0.244
0.695 0.695 0.756
0.863 0.863 0.053
0.962 0.962 0.650
0.420 0.420 0.856
0.580 0.580 0.144
0.254 0.254 0.597
0.746 0.746 0.403
```

- Energy relative to the lowest polymorph listed for this composition: 0.0412 eV/atom
- SG: C2/m
- D(E_F): 11.81 states/eV per cell